CaAc6Mg5 | PBE-GGA | optimized geometry

calculated formation energy	-54.4	meV per atom
total moment	0.000	μB per formula unit

Geometry as CIF:
```
data_CaAc6Mg5
_chemical_formula_sum 'Ca2 Ac12 Mg10'
_space_group_name_H-M_alt 'C m m m'
_space_group_IT_number 65
_space_group_name_Hall '-C 2 2'
_cell_length_a 5.8771
_cell_length_b 17.6770
_cell_length_c 8.3197
_cell_angle_alpha 90.00
_cell_angle_beta 90.00
_cell_angle_gamma 90.00
loop_
_atom_site_label
_atom_site_fract_x
_atom_site_fract_y
_atom_site_fract_z
_atom_site_occupancy
Ca1 0.0000 0.0000 0.0000 1
Ac1 0.0000 0.1708 0.2550 1
Ac2 0.0000 0.5000 0.2629 1
Mg1 0.0000 0.0000 0.5000 1
Mg2 0.0000 0.3338 0.5000 1
Mg3 0.0000 0.3392 0.0000 1
```

***

InAgSn | PBE-GGA | optimized geometry

calculated formation energy	3.2	meV per atom
total moment	0.000	μB per formula unit

Geometry as CIF:
```
data_InAgSn
_chemical_formula_sum 'In4 Ag4 Sn4'
_space_group_name_H-M_alt 'F -4 3 m'
_space_group_IT_number 216
_space_group_name_Hall 'F -4 2 3'
_cell_length_a 6.7434
_cell_length_b 6.7434
_cell_length_c 6.7434
_cell_angle_alpha 90.00
_cell_angle_beta 90.00
_cell_angle_gamma 90.00
loop_
_atom_site_label
_atom_site_fract_x
_atom_site_fract_y
_atom_site_fract_z
_atom_site_occupancy
In1 0.0000 0.0000 0.0000 1
Ag1 0.2500 0.2500 0.7500 1
Sn1 0.0000 0.0000 0.5000 1
```

***

Na2CuF6 | PBE-GGA | optimized geometry

DFT total energy	-3.900	eV per atom
total moment	1.005	μB per formula unit

Geometry as CIF:
```
data_Na2CuF6
_chemical_formula_sum 'Na4 Cu2 F12'
_space_group_name_H-M_alt 'P 1 21/c 1'
_space_group_IT_number 14
_cell_length_a 5.5426
_cell_length_b 5.7721
_cell_length_c 8.9197
_cell_angle_alpha 90.00
_cell_angle_beta 122.56
_cell_angle_gamma 90.00
loop_
_space_group_symop_operation_xyz
'x,y,z'
'-x,-y,-z'
'-x,y+1/2,-z+1/2'
'x,-y+1/2,z+1/2'
loop_
_atom_site_label
_atom_site_fract_x
_atom_site_fract_y
_atom_site_fract_z
_atom_site_occupancy
Na1 0.2028 0.0767 0.2374 1
Cu1 0.5000 0.0000 0.0000 1
F1 0.1741 0.1762 0.9529 1
F2 0.2785 0.7348 0.9335 1
F3 0.3979 0.0470 0.7724 1
```

***

EuHo2Zr | PBE-GGA | optimized geometry

calculated formation energy	183.8	meV per atom
distance to the lowest polymorph of the same formula	0.090	eV per atom
total moment	7.825	μB per formula unit

Geometry as CIF:
```
data_EuHo2Zr
_chemical_formula_sum 'Eu3 Ho6 Zr3'
_space_group_name_H-M_alt 'R -3 m'
_space_group_IT_number 166
_space_group_name_Hall '-R 3 2"'
_cell_length_a 3.4303
_cell_length_b 3.4303
_cell_length_c 36.2343
_cell_angle_alpha 90.00
_cell_angle_beta 90.00
_cell_angle_gamma 120.00
loop_
_atom_site_label
_atom_site_fract_x
_atom_site_fract_y
_atom_site_fract_z
_atom_site_occupancy
Eu1 0.0000 0.0000 0.0000 1
Ho1 0.0000 0.0000 0.0948 1
Zr1 0.0000 0.0000 0.5000 1
```

***

HoTmCuIr | PBE-GGA | optimized geometry

calculated formation energy	-636.3	meV per atom
total moment	0.000	μB per formula unit

Geometry as CIF:
```
data_HoTmCuIr
_chemical_formula_sum 'Ho4 Tm4 Cu4 Ir4'
_space_group_name_H-M_alt 'F -4 3 m'
_space_group_IT_number 216
_space_group_name_Hall 'F -4 2 3'
_cell_length_a 6.8280
_cell_length_b 6.8280
_cell_length_c 6.8280
_cell_angle_alpha 90.00
_cell_angle_beta 90.00
_cell_angle_gamma 90.00
loop_
_atom_site_label
_atom_site_fract_x
_atom_site_fract_y
_atom_site_fract_z
_atom_site_occupancy
Ho1 0.0000 0.0000 0.0000 1
Tm1 0.0000 0.0000 0.5000 1
Cu1 0.2500 0.2500 0.7500 1
Ir1 0.2500 0.2500 0.2500 1
```

***

ZrTa2Nb4 | PBE-GGA | optimized geometry

calculated formation energy	224.4	meV per atom
total moment	0.000	μB per formula unit

Geometry as CIF:
```
data_ZrTa2Nb4
_chemical_formula_sum 'Zr2 Ta4 Nb8'
_space_group_name_H-M_alt 'C m m m'
_space_group_IT_number 65
_space_group_name_Hall '-C 2 2'
_cell_length_a 3.4521
_cell_length_b 23.9896
_cell_length_c 3.2755
_cell_angle_alpha 90.00
_cell_angle_beta 90.00
_cell_angle_gamma 90.00
loop_
_atom_site_label
_atom_site_fract_x
_atom_site_fract_y
_atom_site_fract_z
_atom_site_occupancy
Zr1 0.0000 0.0000 0.0000 1
Ta1 0.0000 0.2943 0.5000 1
Nb1 0.0000 0.1438 0.0000 1
Nb2 0.0000 0.4229 0.5000 1
```

***

Repeat the second record exactly.
InAgSn | PBE-GGA | optimized geometry

calculated formation energy	3.2	meV per atom
total moment	0.000	μB per formula unit

Geometry as CIF:
```
data_InAgSn
_chemical_formula_sum 'In4 Ag4 Sn4'
_space_group_name_H-M_alt 'F -4 3 m'
_space_group_IT_number 216
_space_group_name_Hall 'F -4 2 3'
_cell_length_a 6.7434
_cell_length_b 6.7434
_cell_length_c 6.7434
_cell_angle_alpha 90.00
_cell_angle_beta 90.00
_cell_angle_gamma 90.00
loop_
_atom_site_label
_atom_site_fract_x
_atom_site_fract_y
_atom_site_fract_z
_atom_site_occupancy
In1 0.0000 0.0000 0.0000 1
Ag1 0.2500 0.2500 0.7500 1
Sn1 0.0000 0.0000 0.5000 1
```